A plane-wave DFT calculation with PBE was carried out for crystalline ScSi2Ni2Os at its relaxed geometry.

Summary:
Total energy, eV per atom: -6.562
Total magnetic moment, Bohr magnetons per cell: 0.000
E_form (uncorrected), meV per atom: 100
Theoretical density, g/cm3: 6.58

```
data_ScSi2Ni2Os
_chemical_formula_sum 'Sc1 Si2 Ni2 Os1'
_symmetry_space_group_name_H-M 'P 1'
_symmetry_Int_Tables_number 1
_symmetry_space_group_name_Hall 'P 1'
_cell_length_a 4.495
_cell_length_b 4.495
_cell_length_c 5.107
_cell_angle_alpha 90.00
_cell_angle_beta 90.00
_cell_angle_gamma 90.00
loop_
_atom_site_label
_atom_site_type_symbol
_atom_site_fract_x
_atom_site_fract_y
_atom_site_fract_z
Sc1 Sc 0.000 0.000 0.500
Ni1 Ni 0.500 0.500 0.252
Ni2 Ni 0.500 0.500 0.748
Si1 Si 0.000 0.500 0.000
Si2 Si 0.500 0.000 0.000
Os1 Os 0.000 0.000 0.000
```